No. 1
VASP calculation (PBE-GGA) on a geometry-optimized SmTlPd structure.

Output
Its calculated total energy is -11.8 eV for the cell shown. As for the magnetic moment: 0.00 μB/cell. The value obtained for the formation energy is 0.47 eV per formula unit.

Cell: 3.3254 3.3254 7.8964 Å, 102.16 102.16 90.00°
Element x y z (fractional)
Pd  0.7626  0.7626  0.5251
Sm  0.9377  0.9377  0.8754
Tl  0.1497  0.1497  0.2995


No. 2
VASP calculation (PBE-GGA) on a geometry-optimized PdAuS2O8 structure.

Output
The energy relative to the elements, uncorrected comes out at -0.593 eV/atom. Its calculated total energy is -63.5 eV for the cell shown. As for the magnetic moment: 2.99 μB/cell.

Cell: 4.8239 4.8239 8.2002 Å, 72.89 72.89 60.00°
Each line ends with the local moment (μB).
Element x y z (fractional)
O  0.4718  0.0598  0.6993  0.12
O  0.6818  0.6818  0.9547  0.17
O  0.5282  0.2309  0.3007  0.12
O  0.3182  0.3182  0.0453  0.17
O  0.7691  0.4718  0.6993  0.12
O  0.2309  0.9402  0.3007  0.12
O  0.0598  0.7691  0.6993  0.12
O  0.9402  0.5282  0.3007  0.12
S  0.7464  0.7464  0.7607  -0.01
S  0.2536  0.2536  0.2393  -0.01
Au  0.5000  0.5000  0.5000  0.63
Pd  0.0000  0.0000  0.0000  1.10